Entry 1:
Density functional theory data (PBE) for TaBeAs2 after structural relaxation.

Structure (CIF):
```
data_TaBeAs2
_chemical_formula_sum 'Ta1 Be1 As2'
_cell_length_a 2.9122
_cell_length_b 2.9122
_cell_length_c 8.3553
_cell_angle_alpha 90.00
_cell_angle_beta 90.00
_cell_angle_gamma 90.00
_space_group_name_H-M_alt 'P 4 m m'
_space_group_IT_number 99
loop_
_space_group_symop_operation_xyz
'x,y,z'
'-y,x,z'
'-x,-y,z'
'y,-x,z'
'-x,y,z'
'y,x,z'
'x,-y,z'
'-y,-x,z'
loop_
_atom_site_label
_atom_site_fract_x
_atom_site_fract_y
_atom_site_fract_z
Ta1 0.0000 0.0000 0.0000
Be1 0.5000 0.5000 0.8063
As1 0.0000 0.0000 0.6493
As2 0.5000 0.5000 0.2451
```

Formation enthalpy at 0 K (eV/atom): 0.110

***

Entry 2:
Density functional theory data (PBE) for Sm7BiS5 after structural relaxation.

Structure (CIF):
```
data_Sm7BiS5
_chemical_formula_sum 'Sm28 Bi4 S20'
_cell_length_a 4.1007
_cell_length_b 13.1546
_cell_length_c 24.1831
_cell_angle_alpha 90.00
_cell_angle_beta 90.00
_cell_angle_gamma 90.00
_space_group_name_H-M_alt 'C m c m'
_space_group_IT_number 63
_space_group_name_Hall '-C 2c 2'
loop_
_atom_site_label
_atom_site_fract_x
_atom_site_fract_y
_atom_site_fract_z
Sm1 0.0000 0.0165 0.2500
Sm2 0.0000 0.1364 0.5370
Sm3 0.0000 0.3238 0.1709
Sm4 0.0000 0.4084 0.6098
Bi1 0.0000 0.2999 0.7500
S1 0.0000 0.0438 0.6402
S2 0.0000 0.2256 0.0691
S3 0.0000 0.5000 0.0000
```

Energy relative to the elements, uncorrected (meV/atom): -1701

***

Entry 3:
Density functional theory data (PBE) for LaTm2Pb2 after structural relaxation.

Structure (CIF):
```
data_LaTm2Pb2
_chemical_formula_sum 'La2 Tm4 Pb4'
_cell_length_a 6.7271
_cell_length_b 6.7291
_cell_length_c 7.7536
_cell_angle_alpha 90.00
_cell_angle_beta 115.63
_cell_angle_gamma 90.00
_space_group_name_H-M_alt 'C 1 2/m 1'
_space_group_IT_number 12
loop_
_space_group_symop_operation_xyz
'x,y,z'
'-x,-y,-z'
'-x,y,-z'
'x,-y,z'
'x+1/2,y+1/2,z'
'-x+1/2,-y+1/2,-z'
'-x+1/2,y+1/2,-z'
'x+1/2,-y+1/2,z'
loop_
_atom_site_label
_atom_site_fract_x
_atom_site_fract_y
_atom_site_fract_z
La1 0.0000 0.0000 0.0000
Tm1 0.0000 0.2499 0.5000
Pb1 0.1074 0.5000 0.2133
```

Formation enthalpy at 0 K (eV/atom): -0.354

***

Entry 4:
Density functional theory data (PBE) for TmBeAl2Cu4 after structural relaxation.

Structure (CIF):
```
data_TmBeAl2Cu4
_chemical_formula_sum 'Tm3 Be3 Al6 Cu12'
_cell_length_a 4.0700
_cell_length_b 4.0700
_cell_length_c 24.3917
_cell_angle_alpha 90.00
_cell_angle_beta 90.00
_cell_angle_gamma 120.00
_space_group_name_H-M_alt 'R -3 m'
_space_group_IT_number 166
_space_group_name_Hall '-R 3 2"'
loop_
_atom_site_label
_atom_site_fract_x
_atom_site_fract_y
_atom_site_fract_z
Tm1 0.0000 0.0000 0.0000
Be1 0.0000 0.0000 0.5000
Al1 0.0000 0.0000 0.2406
Cu1 0.0000 0.0000 0.1360
Cu2 0.0000 0.0000 0.4059
```

Formation enthalpy at 0 K (eV/atom): -0.230

***

Entry 5:
Density functional theory data (PBE) for Ca2GeRh after structural relaxation.

Structure (CIF):
```
data_Ca2GeRh
_chemical_formula_sum 'Ca8 Ge4 Rh4'
_cell_length_a 10.4216
_cell_length_b 10.4216
_cell_length_c 4.7160
_cell_angle_alpha 90.00
_cell_angle_beta 90.00
_cell_angle_gamma 90.00
_space_group_name_H-M_alt 'I -4 2 d'
_space_group_IT_number 122
_space_group_name_Hall 'I -4 2bw'
loop_
_atom_site_label
_atom_site_fract_x
_atom_site_fract_y
_atom_site_fract_z
Ca1 0.0759 0.2500 0.1250
Ge1 0.0000 0.0000 0.5000
Rh1 0.0000 0.0000 0.0000
```

Formation enthalpy at 0 K (eV/atom): -0.384

***

Entry 6:
Density functional theory data (PBE) for KH2I after structural relaxation.

Structure (CIF):
```
data_KH2I
_chemical_formula_sum 'K2 H4 I2'
_cell_length_a 4.8427
_cell_length_b 5.0295
_cell_length_c 9.6129
_cell_angle_alpha 90.00
_cell_angle_beta 90.87
_cell_angle_gamma 90.00
_space_group_name_H-M_alt 'P 1 21/m 1'
_space_group_IT_number 11
loop_
_space_group_symop_operation_xyz
'x,y,z'
'-x,-y,-z'
'-x,y+1/2,-z'
'x,-y+1/2,z'
loop_
_atom_site_label
_atom_site_fract_x
_atom_site_fract_y
_atom_site_fract_z
K1 0.2444 0.2500 0.3208
H1 0.2456 0.6752 0.9713
I1 0.2557 0.2500 0.6878
```

E above lowest polymorph (meV per atom): 0

***

Entry 7:
Density functional theory data (PBE) for ErTiNiOs after structural relaxation.

Structure (CIF):
```
data_ErTiNiOs
_chemical_formula_sum 'Er4 Ti4 Ni4 Os4'
_cell_length_a 6.4274
_cell_length_b 6.4274
_cell_length_c 6.4274
_cell_angle_alpha 90.00
_cell_angle_beta 90.00
_cell_angle_gamma 90.00
_space_group_name_H-M_alt 'F -4 3 m'
_space_group_IT_number 216
_space_group_name_Hall 'F -4 2 3'
loop_
_atom_site_label
_atom_site_fract_x
_atom_site_fract_y
_atom_site_fract_z
Er1 0.0000 0.0000 0.0000
Ti1 0.0000 0.0000 0.5000
Ni1 0.2500 0.2500 0.2500
Os1 0.2500 0.2500 0.7500
```

Formation enthalpy at 0 K (eV/atom): -0.323

***

Entry 8:
Density functional theory data (PBE) for PuAlAgS4 after structural relaxation.

Structure (CIF):
```
data_PuAlAgS4
_chemical_formula_sum 'Pu4 Al4 Ag4 S16'
_cell_length_a 7.2833
_cell_length_b 7.9562
_cell_length_c 10.6989
_cell_angle_alpha 90.00
_cell_angle_beta 90.00
_cell_angle_gamma 90.00
_space_group_name_H-M_alt 'I m m a'
_space_group_IT_number 74
_space_group_name_Hall '-I 2b 2'
loop_
_atom_site_label
_atom_site_fract_x
_atom_site_fract_y
_atom_site_fract_z
Pu1 0.0000 0.0000 0.0000
Al1 0.2500 0.2500 0.2500
Ag1 0.0000 0.2500 0.6515
S1 0.0000 0.0443 0.2508
S2 0.2435 0.2500 0.0179
```

Energy relative to the elements, uncorrected (meV/atom): -957

***

Entry 9:
Density functional theory data (PBE) for MgIn6Pb8 after structural relaxation.

Structure (CIF):
```
data_MgIn6Pb8
_chemical_formula_sum 'Mg3 In18 Pb24'
_cell_length_a 9.2296
_cell_length_b 9.2296
_cell_length_c 18.1005
_cell_angle_alpha 90.00
_cell_angle_beta 90.00
_cell_angle_gamma 120.00
_space_group_name_H-M_alt 'R -3'
_space_group_IT_number 148
_space_group_name_Hall '-R 3'
loop_
_atom_site_label
_atom_site_fract_x
_atom_site_fract_y
_atom_site_fract_z
Mg1 0.0000 0.0000 0.0000
In1 0.0262 0.3875 0.3491
Pb1 0.0000 0.0000 0.4121
Pb2 0.0532 0.2389 0.1796
```

Formation enthalpy at 0 K (eV/atom): 0.050

***

Entry 10:
Density functional theory data (PBE) for NdY2SiN4 after structural relaxation.

Structure (CIF):
```
data_NdY2SiN4
_chemical_formula_sum 'Nd4 Y8 Si4 N16'
_cell_length_a 3.3888
_cell_length_b 11.5954
_cell_length_c 11.5716
_cell_angle_alpha 90.00
_cell_angle_beta 90.00
_cell_angle_gamma 90.00
_space_group_name_H-M_alt 'C m c m'
_space_group_IT_number 63
_space_group_name_Hall '-C 2c 2'
loop_
_atom_site_label
_atom_site_fract_x
_atom_site_fract_y
_atom_site_fract_z
Nd1 0.0000 0.0878 0.2500
Y1 0.0000 0.3684 0.0418
Si1 0.0000 0.1775 0.7500
N1 0.0000 0.0000 0.0000
N2 0.0000 0.2655 0.6296
N3 0.0000 0.4048 0.2500
```

Energy relative to the elements, uncorrected (meV/atom): -1323

***

Entry 11:
Density functional theory data (PBE) for EuDyTe2 after structural relaxation.

Structure (CIF):
```
data_EuDyTe2
_chemical_formula_sum 'Eu1 Dy1 Te2'
_cell_length_a 3.8622
_cell_length_b 3.8622
_cell_length_c 7.8197
_cell_angle_alpha 90.00
_cell_angle_beta 90.00
_cell_angle_gamma 90.00
_space_group_name_H-M_alt 'P 4/m m m'
_space_group_IT_number 123
_space_group_name_Hall '-P 4 2'
loop_
_atom_site_label
_atom_site_fract_x
_atom_site_fract_y
_atom_site_fract_z
Eu1 0.0000 0.0000 0.0000
Dy1 0.0000 0.0000 0.5000
Te1 0.5000 0.5000 0.2660
```

Energy relative to the elements, uncorrected (meV/atom): -1290
E above lowest polymorph (meV per atom): 203

***

Entry 12:
Density functional theory data (PBE) for Ta5Mn2H12 after structural relaxation.

Structure (CIF):
```
data_Ta5Mn2H12
_chemical_formula_sum 'Ta10 Mn4 H24'
_cell_length_a 9.2020
_cell_length_b 5.1353
_cell_length_c 6.2547
_cell_angle_alpha 90.00
_cell_angle_beta 98.60
_cell_angle_gamma 90.00
_space_group_name_H-M_alt 'C 1 2/m 1'
_space_group_IT_number 12
loop_
_space_group_symop_operation_xyz
'x,y,z'
'-x,-y,-z'
'-x,y,-z'
'x,-y,z'
'x+1/2,y+1/2,z'
'-x+1/2,-y+1/2,-z'
'-x+1/2,y+1/2,-z'
'x+1/2,-y+1/2,z'
loop_
_atom_site_label
_atom_site_fract_x
_atom_site_fract_y
_atom_site_fract_z
Ta1 0.0000 0.0000 0.0000
Ta2 0.1433 0.5000 0.8811
Ta3 0.2285 0.5000 0.3247
Mn1 0.0000 0.2317 0.5000
H1 0.0244 0.5000 0.3432
H2 0.0627 0.0000 0.3409
H3 0.1741 0.2200 0.1083
H4 0.1748 0.3155 0.5998
```

Total DFT energy (no corrections) (eV/atom): -6.23